The following is a DFT calculation (PBE) of a relaxed AcPmPd4 crystal.

Calculated values
- E (eV per cell) = -68.7
- magnetization (μB/f.u.) = 0.0
- excess energy over the best structure of this formula in the dataset (meV per atom) = 0
- DFT formation energy (eV per atom) = -0.79
- space-group type = Cmcm (63)
- calculated volume (A^3/atom) = 21.88

a = 10.4184 Å, b = 10.4184 Å, c = 5.9223 Å
α = 90.00°, β = 90.00°, γ = 155.89°
With the nearest neighbours (Å) after each atom.
Fractional positions:
Ac 0.2196 0.7804 0.7500  7 Pd 3.05-3.22
Ac 0.7804 0.2196 0.2500  7 Pd 3.05-3.22
Pm 0.0740 0.9260 0.2500  11 Pd 2.93-3.03
Pm 0.9260 0.0740 0.7500  11 Pd 2.93-3.03
Pd 0.0700 0.9300 0.7500  3 Pm 2.93-2.96, 8 Pd 2.98-2.99, 1 Ac 3.05
Pd 0.3586 0.6414 0.0095  5 Pd 2.85-3.07, 2 Pm 3.00, 2 Ac 3.05
Pd 0.3586 0.6414 0.4905  5 Pd 2.85-3.07, 2 Pm 3.00, 2 Ac 3.05
Pd 0.5000 0.5000 0.0000  8 Pd 2.88-2.99, 4 Pm 3.03
Pd 0.5000 0.5000 0.5000  8 Pd 2.88-2.99, 4 Pm 3.03
Pd 0.6414 0.3586 0.5095  5 Pd 2.85-3.07, 2 Pm 3.00, 2 Ac 3.05
Pd 0.6414 0.3586 0.9905  5 Pd 2.85-3.07, 2 Pm 3.00, 2 Ac 3.05
Pd 0.9300 0.0700 0.2500  3 Pm 2.93-2.96, 8 Pd 2.98-2.99, 1 Ac 3.05

=====

The following is a DFT calculation (PBE) of a relaxed Tb7CeSm2 crystal.

Calculated values
- E (eV per cell) = -45.9
- magnetization (μB/f.u.) = 0.9
- DFT formation energy (eV per atom) = 0.18
- space-group type = Cmmm (65)
- calculated volume (A^3/atom) = 32.87

a = 14.8227 Å, b = 14.8227 Å, c = 3.4628 Å
α = 90.00°, β = 90.00°, γ = 154.40°
With the nearest neighbours (Å) after each atom.
Fractional positions:
Tb 0.0000 0.0000 0.0000  6 Tb 3.29-3.46
Tb 0.1558 0.3519 0.0000  7 Tb 3.23-3.50, 1 Sm 3.53
Tb 0.3130 0.6870 0.5000  6 Tb 3.46-3.50, 6 Sm 3.55-3.75
Tb 0.3519 0.1558 0.0000  7 Tb 3.23-3.50, 1 Sm 3.53
Tb 0.6481 0.8442 0.0000  7 Tb 3.23-3.50, 1 Sm 3.53
Tb 0.6870 0.3130 0.5000  6 Tb 3.46-3.50, 6 Sm 3.55-3.75
Tb 0.8442 0.6481 0.0000  7 Tb 3.23-3.50, 1 Sm 3.53
Ce 0.5000 0.5000 0.5000  2 Ce 3.46, 12 Tb 3.69-3.71
Sm 0.2057 0.7943 0.0000  2 Sm 3.46, 8 Tb 3.53-3.75
Sm 0.7943 0.2057 0.0000  2 Sm 3.46, 8 Tb 3.53-3.75